[1]
The following is a DFT calculation (PBEsol) of a geometry-optimized Li3V2FeO6 structure.

The structure in CIF format:
```
data_Li3V2FeO6
_space_group_name_H-M_alt 'P 1'
_space_group_IT_number 1
_cell_length_a 2.7530
_cell_length_b 5.7891
_cell_length_c 6.5451
_cell_angle_alpha 106.82
_cell_angle_beta 102.14
_cell_angle_gamma 90.00
loop_
_space_group_symop_operation_xyz
'x,y,z'
loop_
_atom_site_label
_atom_site_type_symbol
_atom_site_fract_x
_atom_site_fract_y
_atom_site_fract_z
V1 V 0.6784 0.8630 0.3568
V2 V 0.3216 0.1370 0.6432
O1 O 0.1613 0.0937 0.3227
Fe1 Fe 0.0000 0.5000 0.0000
Li1 Li 0.6588 0.3483 0.3176
O2 O 0.8387 0.9063 0.6773
Li2 Li 0.3412 0.6517 0.6824
Li3 Li 0.0000 0.0000 0.0000
O3 O 0.5106 0.7361 0.0212
O4 O 0.8408 0.3939 0.6815
O5 O 0.4894 0.2639 0.9788
O6 O 0.1592 0.6061 0.3185
```

- SG = C2/m, No. 12
- uncorrected formation energy (meV per atom) = -2083


[2]
The following is a DFT calculation (PBEsol) of a geometry-optimized Y3SiOs structure.

The structure in CIF format:
```
data_Y3SiOs
_space_group_name_H-M_alt 'P 1'
_space_group_IT_number 1
_cell_length_a 5.2049
_cell_length_b 5.2049
_cell_length_c 5.2049
_cell_angle_alpha 90.00
_cell_angle_beta 90.00
_cell_angle_gamma 90.00
loop_
_space_group_symop_operation_xyz
'x,y,z'
loop_
_atom_site_label
_atom_site_type_symbol
_atom_site_fract_x
_atom_site_fract_y
_atom_site_fract_z
Y1 Y 0.0000 0.5000 0.0000
Y2 Y 0.5000 0.0000 0.0000
Si1 Si 0.5000 0.5000 0.5000
Os1 Os 0.0000 0.0000 0.0000
Y3 Y 0.0000 0.0000 0.5000
```

- SG = Pm-3m, No. 221
- uncorrected formation energy (meV per atom) = 146


[3]
The following is a DFT calculation (PBEsol) of a geometry-optimized Li3V2O4F2 structure.

The structure in CIF format:
```
data_Li3V2O4F2
_space_group_name_H-M_alt 'P 1'
_space_group_IT_number 1
_cell_length_a 5.7508
_cell_length_b 5.7534
_cell_length_c 14.5737
_cell_angle_alpha 89.49
_cell_angle_beta 90.00
_cell_angle_gamma 119.99
loop_
_space_group_symop_operation_xyz
'x,y,z'
loop_
_atom_site_label
_atom_site_type_symbol
_atom_site_fract_x
_atom_site_fract_y
_atom_site_fract_z
Li1 Li 0.1624 0.8280 0.3335
F1 F 0.3235 0.1575 0.9109
V1 V 0.5039 0.0079 0.4954
Li2 Li 0.3407 0.6814 0.6884
Li3 Li 0.5064 0.4804 0.9629
F2 F 0.8354 0.6708 0.9151
O1 O 0.6678 0.3355 0.0910
F3 F 0.0350 0.5277 0.7545
O2 O 0.8350 0.6701 0.4254
F4 F 0.0178 0.0356 0.7510
O3 O 0.3300 0.6600 0.4241
Li4 Li 0.1653 0.3305 0.8384
O4 O 0.1651 0.3302 0.5680
O5 O 0.1705 0.8212 0.5665
V2 V 0.3331 0.6663 0.1620
Li5 Li 0.1640 0.3279 0.3345
Li6 Li 0.5035 0.0071 0.9558
Li7 Li 0.6985 0.8295 0.8293
F5 F 0.3272 0.6545 0.9233
V3 V 0.8264 0.1727 0.1685
Li8 Li 0.9740 0.4804 0.9629
O6 O 0.9988 0.9975 0.2429
F6 F 0.8340 0.1575 0.9109
O7 O 0.6712 0.8369 0.1021
V4 V 0.3463 0.1727 0.1685
V5 V 0.9930 0.9859 0.5099
O8 O 0.8376 0.1564 0.4256
O9 O 0.6598 0.3197 0.5743
V6 V 0.5044 0.4865 0.4993
F7 F 0.4926 0.5277 0.7545
O10 O 0.1655 0.3310 0.1017
Li9 Li 0.6655 0.8280 0.3335
O11 O 0.3187 0.1564 0.4256
Li10 Li 0.3707 0.2084 0.7081
F8 F 0.4995 0.9990 0.7458
O12 O 0.6507 0.8212 0.5665
O13 O 0.0061 0.5011 0.2431
Li11 Li 0.8377 0.2084 0.7081
Li12 Li 0.1310 0.8295 0.8293
O14 O 0.4950 0.9900 0.2432
O15 O 0.4950 0.5011 0.2431
V7 V 0.9821 0.4865 0.4993
V8 V 0.8266 0.6533 0.1683
O16 O 0.1657 0.8369 0.1021
```

- SG = Cm, No. 8
- uncorrected formation energy (meV per atom) = -2493
- ΔE to the lowest computed polymorph (eV per formula unit) = 0.44


[4]
The following is a DFT calculation (PBEsol) of a geometry-optimized TcIr2Ru structure.

The structure in CIF format:
```
data_TcIr2Ru
_space_group_name_H-M_alt 'P 1'
_space_group_IT_number 1
_cell_length_a 2.6912
_cell_length_b 2.6912
_cell_length_c 8.9643
_cell_angle_alpha 81.37
_cell_angle_beta 81.37
_cell_angle_gamma 60.00
loop_
_space_group_symop_operation_xyz
'x,y,z'
loop_
_atom_site_label
_atom_site_type_symbol
_atom_site_fract_x
_atom_site_fract_y
_atom_site_fract_z
Ir1 Ir 0.9986 0.9986 0.0042
Ir2 Ir 0.7513 0.7513 0.7462
Ru1 Ru 0.5010 0.5010 0.4971
Tc1 Tc 0.2491 0.2491 0.2526
```

- formation enthalpy at 0 K (eV per atom) = -0.040
- SG = R3m, No. 160
- ΔE to the lowest computed polymorph (eV per formula unit) = 0.32